Entry 1:
A crystal of NaHgO2 relaxed with PBEsol, computed with meta-GGA SCAN.

Unit cell a=3.503 b=3.503 c=6.709 alpha=74.87 beta=74.87 gamma=60.00
Each line ends with the local moment (μB).
Fractional coordinates of all 4 atoms:
1 O 0.889 0.889 0.333  0.38
2 Hg 0.500 0.500 0.500  0.16
3 O 0.111 0.111 0.667  0.38
4 Na 0.000 0.000 0.000  -0.01

Properties
density of states at the Fermi level: 1.112 states/eV/cell
VASP energy: -21.594 eV/atom
total magnetization: 1.0 μB/cell
ρ: 6242 kg/m³
formation energy (no corrections): -383 meV/atom
symmetry: R-3m, No. 166

***

Entry 2:
A crystal of NaHgPO4 relaxed with PBEsol, computed with meta-GGA SCAN.

Unit cell a=5.534 b=5.534 c=6.471 alpha=90.00 beta=90.00 gamma=115.96
Fractional coordinates of all 14 atoms:
1 O 0.753 0.247 0.936
2 O 0.247 0.753 0.436
3 O 0.261 0.170 0.250
4 P 0.139 0.861 0.250
5 Hg 0.809 0.191 0.250
6 O 0.170 0.261 0.750
7 O 0.247 0.753 0.064
8 Hg 0.191 0.809 0.750
9 Na 0.500 0.500 0.000
10 O 0.753 0.247 0.564
11 Na 0.500 0.500 0.500
12 O 0.739 0.830 0.750
13 O 0.830 0.739 0.250
14 P 0.861 0.139 0.750

Properties
density of states at the Fermi level: 0.000 states/eV/cell
VASP energy: -17.293 eV/atom
total magnetization: 0.0 μB/cell
ρ: 5938 kg/m³
formation energy (no corrections): -1906 meV/atom
symmetry: Cmcm, No. 63

***

Entry 3:
A crystal of NaHg2Os relaxed with PBEsol, computed with meta-GGA SCAN.

Unit cell a=4.677 b=4.677 c=4.677 alpha=60.00 beta=60.00 gamma=60.00
Fractional coordinates of all 4 atoms:
1 Hg 0.750 0.750 0.750
2 Os 0.500 0.500 0.500
3 Hg 0.250 0.250 0.250
4 Na 0.000 0.000 0.000

Properties
density of states at the Fermi level: 4.220 states/eV/cell
VASP energy: -52.465 eV/atom
total magnetization: 0.0 μB/cell
ρ: 14106 kg/m³
symmetry: Fm-3m, No. 225

***

Entry 4:
A crystal of Na2HgP2 relaxed with PBEsol, computed with meta-GGA SCAN.

Unit cell a=2.613 b=8.853 c=8.853 alpha=90.00 beta=90.00 gamma=90.00
Fractional coordinates of all 10 atoms:
1 Hg 0.000 0.500 0.500
2 Hg 0.000 0.000 0.000
3 P 0.500 0.335 0.165
4 P 0.500 0.165 0.665
5 P 0.500 0.835 0.335
6 Na 0.000 0.132 0.368
7 P 0.500 0.665 0.835
8 Na 0.000 0.632 0.132
9 Na 0.000 0.368 0.868
10 Na 0.000 0.868 0.632

Properties
density of states at the Fermi level: 3.739 states/eV/cell
VASP energy: -19.422 eV/atom
total magnetization: 0.0 μB/cell
ρ: 5003 kg/m³
symmetry: P4/mbm, No. 127

***

Entry 5:
A crystal of Na2HgPb relaxed with PBEsol, computed with meta-GGA SCAN.

Unit cell a=5.199 b=5.199 c=5.199 alpha=60.00 beta=60.00 gamma=60.00
Fractional coordinates of all 4 atoms:
1 Na 0.750 0.750 0.750
2 Pb 0.500 0.500 0.500
3 Hg 0.000 0.000 0.000
4 Na 0.250 0.250 0.250

Properties
density of states at the Fermi level: 2.082 states/eV/cell
VASP energy: -38.331 eV/atom
total magnetization: 0.0 μB/cell
ρ: 7584 kg/m³
symmetry: Fm-3m, No. 225

***

Entry 6:
A crystal of NaHg2Pb2 relaxed with PBEsol, computed with meta-GGA SCAN.

Unit cell a=4.690 b=4.690 c=7.454 alpha=108.34 beta=108.34 gamma=90.00
Fractional coordinates of all 5 atoms:
1 Hg 0.398 0.398 0.797
2 Na 0.000 0.000 0.000
3 Pb 0.750 0.250 0.500
4 Hg 0.602 0.602 0.203
5 Pb 0.250 0.750 0.500

Properties
density of states at the Fermi level: 1.918 states/eV/cell
VASP energy: -58.531 eV/atom
total magnetization: 0.0 μB/cell
ρ: 9484 kg/m³
symmetry: I4/mmm, No. 139

***

Entry 7:
A crystal of Na2HgPb relaxed with PBEsol, computed with meta-GGA SCAN.

Unit cell a=5.900 b=6.174 c=6.174 alpha=77.44 beta=90.00 gamma=90.00
Fractional coordinates of all 8 atoms:
1 Na 0.250 0.485 0.142
2 Na 0.750 0.515 0.858
3 Na 0.250 0.858 0.515
4 Hg 0.000 0.000 0.000
5 Na 0.750 0.142 0.485
6 Pb 0.750 0.668 0.332
7 Pb 0.250 0.332 0.668
8 Hg 0.500 0.000 0.000

Properties
density of states at the Fermi level: 2.191 states/eV/cell
VASP energy: -38.379 eV/atom
total magnetization: 0.0 μB/cell
ρ: 6864 kg/m³
symmetry: Cmcm, No. 63

***

Entry 8:
A crystal of Na2Hg2Pb relaxed with PBEsol, computed with meta-GGA SCAN.

Unit cell a=3.725 b=8.205 c=8.205 alpha=90.00 beta=90.00 gamma=90.00
Fractional coordinates of all 10 atoms:
1 Pb 0.000 0.000 0.000
2 Na 0.500 0.172 0.672
3 Hg 0.000 0.874 0.626
4 Na 0.500 0.828 0.328
5 Na 0.500 0.672 0.828
6 Na 0.500 0.328 0.172
7 Hg 0.000 0.374 0.874
8 Pb 0.000 0.500 0.500
9 Hg 0.000 0.626 0.126
10 Hg 0.000 0.126 0.374

Properties
density of states at the Fermi level: 4.322 states/eV/cell
VASP energy: -44.391 eV/atom
total magnetization: 0.0 μB/cell
ρ: 8665 kg/m³
symmetry: P4/mbm, No. 127

***

Entry 9:
A crystal of NaHgPdPb2 relaxed with PBEsol, computed with meta-GGA SCAN.

Unit cell a=4.692 b=5.351 c=5.351 alpha=90.00 beta=90.00 gamma=90.00
Fractional coordinates of all 5 atoms:
1 Pb 0.000 0.000 0.500
2 Na 0.000 0.000 0.000
3 Hg 0.500 0.500 0.500
4 Pd 0.500 0.000 0.000
5 Pb 0.000 0.500 0.000

Properties
density of states at the Fermi level: 2.682 states/eV/cell
VASP energy: -50.720 eV/atom
total magnetization: 0.0 μB/cell
ρ: 9202 kg/m³
symmetry: P4/mmm, No. 123

***

Entry 10:
A crystal of NaHg3Pd relaxed with PBEsol, computed with meta-GGA SCAN.

Unit cell a=5.186 b=5.186 c=5.186 alpha=90.00 beta=90.00 gamma=90.00
Fractional coordinates of all 5 atoms:
1 Pd 0.000 0.000 0.000
2 Hg 0.000 0.500 0.000
3 Na 0.500 0.500 0.500
4 Hg 0.500 0.000 0.000
5 Hg 0.000 0.000 0.500

Properties
density of states at the Fermi level: 2.271 states/eV/cell
VASP energy: -48.436 eV/atom
total magnetization: 0.0 μB/cell
ρ: 8706 kg/m³
symmetry: Pm-3m, No. 221

***

Entry 11:
A crystal of Na2HgPd2 relaxed with PBEsol, computed with meta-GGA SCAN.

Unit cell a=4.402 b=6.813 c=6.813 alpha=90.00 beta=90.00 gamma=90.00
Fractional coordinates of all 10 atoms:
1 Hg 0.000 0.500 0.500
2 Hg 0.000 0.000 0.000
3 Pd 0.000 0.134 0.366
4 Na 0.500 0.832 0.332
5 Pd 0.000 0.866 0.634
6 Na 0.500 0.668 0.832
7 Na 0.500 0.168 0.668
8 Pd 0.000 0.634 0.134
9 Pd 0.000 0.366 0.866
10 Na 0.500 0.332 0.168

Properties
density of states at the Fermi level: 2.128 states/eV/cell
VASP energy: -28.634 eV/atom
total magnetization: 0.0 μB/cell
ρ: 7468 kg/m³
symmetry: P4/mbm, No. 127

***

Entry 12:
A crystal of Na2Hg2Pd relaxed with PBEsol, computed with meta-GGA SCAN.

Unit cell a=3.824 b=3.824 c=7.758 alpha=104.27 beta=104.27 gamma=90.00
Fractional coordinates of all 5 atoms:
1 Pd 0.000 0.000 0.000
2 Na 0.250 0.750 0.500
3 Na 0.750 0.250 0.500
4 Hg 0.407 0.407 0.813
5 Hg 0.593 0.593 0.187

Properties
density of states at the Fermi level: 1.757 states/eV/cell
VASP energy: -35.432 eV/atom
polymorph energy (0 for the lowest one): 0.303 eV per atom
total magnetization: 0.0 μB/cell
ρ: 8644 kg/m³
symmetry: I4/mmm, No. 139

***

Entry 13:
A crystal of Na2Hg2Pd relaxed with PBEsol, computed with meta-GGA SCAN.

Unit cell a=4.658 b=7.051 c=7.051 alpha=90.00 beta=90.00 gamma=90.00
Fractional coordinates of all 10 atoms:
1 Na 0.500 0.673 0.827
2 Na 0.500 0.327 0.173
3 Hg 0.000 0.855 0.645
4 Hg 0.000 0.645 0.145
5 Hg 0.000 0.355 0.855
6 Na 0.500 0.827 0.327
7 Na 0.500 0.173 0.673
8 Pd 0.000 0.500 0.500
9 Pd 0.000 0.000 0.000
10 Hg 0.000 0.145 0.355

Properties
density of states at the Fermi level: 3.505 states/eV/cell
VASP energy: -35.735 eV/atom
polymorph energy (0 for the lowest one): 0.000 eV per atom
total magnetization: 0.0 μB/cell
ρ: 7939 kg/m³
symmetry: P4/mbm, No. 127

***

Entry 14:
A crystal of NaTa2HgPd relaxed with PBEsol, computed with meta-GGA SCAN.

Unit cell a=4.848 b=4.848 c=5.150 alpha=90.00 beta=90.00 gamma=90.00
Each line ends with the local moment (μB).
Fractional coordinates of all 5 atoms:
1 Na 0.500 0.500 0.500  0.00
2 Ta 0.000 0.500 0.000  0.55
3 Ta 0.500 0.000 0.000  0.55
4 Pd 0.000 0.000 0.000  0.08
5 Hg 0.000 0.000 0.500  0.01

Properties
density of states at the Fermi level: 5.732 states/eV/cell
VASP energy: -46.415 eV/atom
total magnetization: 1.8 μB/cell
ρ: 9494 kg/m³
symmetry: P4/mmm, No. 123

***

Entry 15:
A crystal of NaPrHg2 relaxed with PBEsol, computed with meta-GGA SCAN.

Unit cell a=5.199 b=5.199 c=5.199 alpha=60.00 beta=60.00 gamma=60.00
Fractional coordinates of all 4 atoms:
1 Hg 0.750 0.750 0.750
2 Na 0.500 0.500 0.500
3 Pr 0.000 0.000 0.000
4 Hg 0.250 0.250 0.250

Properties
density of states at the Fermi level: 2.497 states/eV/cell
VASP energy: -46.524 eV/atom
total magnetization: 0.0 μB/cell
ρ: 9446 kg/m³
symmetry: Fm-3m, No. 225

***

Entry 16:
A crystal of Na3HgPt relaxed with PBEsol, computed with meta-GGA SCAN.

Unit cell a=5.307 b=5.307 c=5.307 alpha=90.00 beta=90.00 gamma=90.00
Fractional coordinates of all 5 atoms:
1 Na 0.000 0.500 0.000
2 Pt 0.500 0.500 0.500
3 Hg 0.000 0.000 0.000
4 Na 0.500 0.000 0.000
5 Na 0.000 0.000 0.500

Properties
density of states at the Fermi level: 2.800 states/eV/cell
VASP energy: -29.724 eV/atom
total magnetization: 0.0 μB/cell
ρ: 5163 kg/m³
symmetry: Pm-3m, No. 221

***

Entry 17:
A crystal of Na2SiHgPt relaxed with PBEsol, computed with meta-GGA SCAN.

Unit cell a=4.404 b=5.585 c=5.585 alpha=90.00 beta=90.00 gamma=90.00
Fractional coordinates of all 5 atoms:
1 Hg 0.500 0.500 0.500
2 Pt 0.500 0.000 0.000
3 Na 0.000 0.000 0.500
4 Si 0.000 0.000 0.000
5 Na 0.000 0.500 0.000

Properties
density of states at the Fermi level: 1.910 states/eV/cell
VASP energy: -31.420 eV/atom
total magnetization: 0.0 μB/cell
ρ: 5678 kg/m³
formation energy (no corrections): -59 meV/atom
symmetry: P4/mmm, No. 123

***

Entry 18:
A crystal of RbNa3Hg relaxed with PBEsol, computed with meta-GGA SCAN.

Unit cell a=5.946 b=5.946 c=5.946 alpha=90.00 beta=90.00 gamma=90.00
Fractional coordinates of all 5 atoms:
1 Na 0.000 0.000 0.500
2 Rb 0.500 0.500 0.500
3 Na 0.000 0.500 0.000
4 Hg 0.000 0.000 0.000
5 Na 0.500 0.000 0.000

Properties
density of states at the Fermi level: 2.205 states/eV/cell
VASP energy: -20.436 eV/atom
total magnetization: 0.0 μB/cell
ρ: 2804 kg/m³
symmetry: Pm-3m, No. 221

***

Entry 19:
A crystal of Rb2Na2Hg relaxed with PBEsol, computed with meta-GGA SCAN.

Unit cell a=6.439 b=8.335 c=8.335 alpha=90.00 beta=90.00 gamma=90.00
Fractional coordinates of all 10 atoms:
1 Hg 0.000 0.500 0.500
2 Na 0.000 0.851 0.649
3 Rb 0.500 0.687 0.813
4 Na 0.000 0.149 0.351
5 Na 0.000 0.351 0.851
6 Rb 0.500 0.313 0.187
7 Rb 0.500 0.813 0.313
8 Na 0.000 0.649 0.149
9 Rb 0.500 0.187 0.687
10 Hg 0.000 0.000 0.000

Properties
density of states at the Fermi level: 5.176 states/eV/cell
VASP energy: -23.670 eV/atom
total magnetization: 0.0 μB/cell
ρ: 3099 kg/m³
symmetry: P4/mbm, No. 127

***

Entry 20:
A crystal of RbNaHg2 relaxed with PBEsol, computed with meta-GGA SCAN.

Unit cell a=5.648 b=5.648 c=5.648 alpha=60.00 beta=60.00 gamma=60.00
Fractional coordinates of all 4 atoms:
1 Hg 0.250 0.250 0.250
2 Hg 0.750 0.750 0.750
3 Na 0.000 0.000 0.000
4 Rb 0.500 0.500 0.500

Properties
density of states at the Fermi level: 2.287 states/eV/cell
VASP energy: -40.555 eV/atom
total magnetization: 0.0 μB/cell
ρ: 6641 kg/m³
symmetry: Fm-3m, No. 225